MgAgBr3: PBEsol geometry, meta-GGA SCAN.

Computed properties:
raw formation energy	-0.82	eV/atom
magnetization	0.000	μB/atom
energy	-19.76	eV per atom

a b c (Å): 5.146 5.146 5.146
angles (deg): 90.00 90.00 90.00
Atoms (fractional coordinates):
1 Mg 0.000 0.000 0.000
2 Ag 0.500 0.500 0.500
3 Br 0.000 0.000 0.500
4 Br 0.000 0.500 0.000
5 Br 0.500 0.000 0.000